An optimized crystal structure of LiCaAu3. Source: the Alexandria database, functional PBE.

Calculated values
* volume: 34.18 Å³/atom
* excess energy over the best structure of this formula in the dataset: 0.6998 eV per atom
* final energy: -2.615 eV per atom

CIF file:
```
data_LiCaAu3
_chemical_formula_sum 'Li1 Ca1 Au3'
_cell_length_a 5.5495
_cell_length_b 5.5495
_cell_length_c 5.5495
_cell_angle_alpha 90.00
_cell_angle_beta 90.00
_cell_angle_gamma 90.00
_symmetry_space_group_name_H-M 'P m -3 m'
_symmetry_Int_Tables_number 221
_symmetry_space_group_name_Hall '-P 4 2 3'
loop_
_atom_site_label
_atom_site_fract_x
_atom_site_fract_y
_atom_site_fract_z
Li1 0.0000 0.0000 0.0000
Ca1 0.5000 0.5000 0.5000
Au1 0.0000 0.5000 0.5000
```